{
  "formula": "NiSbOsO",
  "functional": "PBE with a Hubbard U",
  "state": "relaxed",
  "cell": [[-0.4111, -2.8447, -2.5784], [-2.1687, -2.0486, 2.6059], [-3.5316, 2.1299, -1.2646]],
  "species": ["O", "Sb", "Os", "Ni"],
  "fractional_positions": [[0.5593, 0.5000, 0.4648], [0.0988, 0.0000, 0.9542], [0.0649, 0.5000, 0.5482], [0.6030, 0.5000, 0.0002]],
  "magmom_total_mub_per_cell": 0.8,
  "density_g_cm3": 9.76,
  "sg": "Pm (6)",
  "total_energy_ev_per_cell": -22.2,
  "n_ef_per_ev_cell": 2.301
}